! KPa4Pd3Se12 (GGA-PBE, relaxed); values from VASP
! Formation energy from raw total energies = -92.2 kJ/mol of atoms
&SYSTEM
  ibrav = 0, nat = 20, ntyp = 4
/
ATOMIC_SPECIES
Se 78.96 Se.upf
Pa 231.04 Pa.upf
Pd 106.42 Pd.upf
K 39.10 K.upf
CELL_PARAMETERS angstrom
8.9036 0.0000 0.0000
-2.9679 8.3944 0.0000
-2.9679 -4.1972 7.2698
ATOMIC_POSITIONS angstrom
Se -0.1158 6.3777 1.0878
Se 3.0837 -2.1805 6.1820
Se -0.8882 2.7110 2.2904
Se 2.8520 1.9504 1.2026
Se 6.0516 -0.0663 2.2904
Se -3.0837 4.2635 4.9794
Se 3.8560 1.4862 4.9794
Se 0.1158 2.2468 6.0672
Se 5.0476 5.0553 1.2026
Se 2.0797 4.8252 3.7767
Se -2.0797 -0.8581 6.0672
Se 0.8882 -0.6280 3.4930
Pa 4.4518 0.0000 0.0000
Pa 1.4839 2.0986 3.6349
Pa -1.4839 -2.0986 3.6349
Pa -1.4839 4.1972 0.0000
Pd 2.9679 -2.0986 3.6349
Pd 2.9679 4.1972 0.0000
Pd -2.9679 2.0986 3.6349
K 0.0000 0.0000 0.0000